Entry 1:
# ErBiPdPt (PBE, optimized geometry)
data_ErBiPdPt
_space_group_name_H-M_alt 'F -4 3 m'
_space_group_IT_number 216
_space_group_name_Hall 'F -4 2 3'
_cell_length_a 6.926
_cell_length_b 6.926
_cell_length_c 6.926
_cell_angle_alpha 90.00
_cell_angle_beta 90.00
_cell_angle_gamma 90.00
loop_
_atom_site_label
_atom_site_type_symbol
_atom_site_fract_x
_atom_site_fract_y
_atom_site_fract_z
Er1 Er 0.000 0.000 0.000
Bi1 Bi 0.000 0.000 0.500
Pd1 Pd 0.250 0.250 0.250
Pt1 Pt 0.250 0.250 0.750
# **Uncorrected energy**: -5.674 eV per atom
# **Formation enthalpy at 0 K**: -0.755 eV/atom

***

Entry 2:
# K2InNi (PBE, optimized geometry)
data_K2InNi
_space_group_name_H-M_alt 'I -4 2 d'
_space_group_IT_number 122
_space_group_name_Hall 'I -4 2bw'
_cell_length_a 7.158
_cell_length_b 7.158
_cell_length_c 15.536
_cell_angle_alpha 90.00
_cell_angle_beta 90.00
_cell_angle_gamma 90.00
loop_
_atom_site_label
_atom_site_type_symbol
_atom_site_fract_x
_atom_site_fract_y
_atom_site_fract_z
K1 K 0.156 0.250 0.125
In1 In 0.000 0.000 0.500
Ni1 Ni 0.000 0.000 0.000
# **Uncorrected energy**: -1.660 eV per atom
# **Formation enthalpy at 0 K**: 1.018 eV/atom

***

Entry 3:
# CuReGe2 (PBE, optimized geometry)
data_CuReGe2
_space_group_name_H-M_alt 'I -4 2 d'
_space_group_IT_number 122
_space_group_name_Hall 'I -4 2bw'
_cell_length_a 5.785
_cell_length_b 5.785
_cell_length_c 10.308
_cell_angle_alpha 90.00
_cell_angle_beta 90.00
_cell_angle_gamma 90.00
loop_
_atom_site_label
_atom_site_type_symbol
_atom_site_fract_x
_atom_site_fract_y
_atom_site_fract_z
Cu1 Cu 0.000 0.000 0.000
Re1 Re 0.000 0.000 0.500
Ge1 Ge 0.247 0.250 0.625
# **Uncorrected energy**: -5.598 eV per atom
# **Formation enthalpy at 0 K**: 0.847 eV/atom
# **Offset from the most stable computed form**: 2.480 eV/f.u.

***

Entry 4:
# CaPt3 (PBE, optimized geometry)
data_CaPt3
_space_group_name_H-M_alt 'I m m m'
_space_group_IT_number 71
_space_group_name_Hall '-I 2 2'
_cell_length_a 4.095
_cell_length_b 4.111
_cell_length_c 8.342
_cell_angle_alpha 90.00
_cell_angle_beta 90.00
_cell_angle_gamma 90.00
loop_
_atom_site_label
_atom_site_type_symbol
_atom_site_fract_x
_atom_site_fract_y
_atom_site_fract_z
Ca1 Ca 0.000 0.000 0.000
Pt1 Pt 0.000 0.000 0.500
Pt2 Pt 0.000 0.500 0.250
# **Uncorrected energy**: -5.486 eV per atom
# **Formation enthalpy at 0 K**: -0.455 eV/atom

***

Entry 5:
# LiCa2YN (PBE, optimized geometry)
data_LiCa2YN
_space_group_name_H-M_alt 'P 4/m m m'
_space_group_IT_number 123
_space_group_name_Hall '-P 4 2'
_cell_length_a 5.106
_cell_length_b 5.106
_cell_length_c 4.722
_cell_angle_alpha 90.00
_cell_angle_beta 90.00
_cell_angle_gamma 90.00
loop_
_atom_site_label
_atom_site_type_symbol
_atom_site_fract_x
_atom_site_fract_y
_atom_site_fract_z
Li1 Li 0.000 0.000 0.000
Ca1 Ca 0.000 0.500 0.500
Y1 Y 0.500 0.500 0.000
N1 N 0.500 0.500 0.500
# **Uncorrected energy**: -4.601 eV per atom
# **ΔE_f (raw)**: -44.3 kJ per mole of atoms

***

Entry 6:
# Cs2NaYbCl6 (PBE, optimized geometry)
data_Cs2NaYbCl6
_space_group_name_H-M_alt 'F m -3 m'
_space_group_IT_number 225
_space_group_name_Hall '-F 4 2 3'
_cell_length_a 10.929
_cell_length_b 10.929
_cell_length_c 10.929
_cell_angle_alpha 90.00
_cell_angle_beta 90.00
_cell_angle_gamma 90.00
loop_
_atom_site_label
_atom_site_type_symbol
_atom_site_fract_x
_atom_site_fract_y
_atom_site_fract_z
Cs1 Cs 0.250 0.250 0.250
Na1 Na 0.000 0.000 0.000
Yb1 Yb 0.000 0.000 0.500
Cl1 Cl 0.000 0.000 0.254
# **Uncorrected energy**: -3.411 eV per atom
# **ΔE_f (raw)**: -178.3 kJ per mole of atoms

***

Entry 7:
# NbCuS2Cl (PBE, optimized geometry)
data_NbCuS2Cl
_space_group_name_H-M_alt 'P 4/m m m'
_space_group_IT_number 123
_space_group_name_Hall '-P 4 2'
_cell_length_a 4.585
_cell_length_b 4.585
_cell_length_c 4.431
_cell_angle_alpha 90.00
_cell_angle_beta 90.00
_cell_angle_gamma 90.00
loop_
_atom_site_label
_atom_site_type_symbol
_atom_site_fract_x
_atom_site_fract_y
_atom_site_fract_z
Nb1 Nb 0.000 0.000 0.000
Cu1 Cu 0.500 0.500 0.500
S1 S 0.000 0.500 0.500
Cl1 Cl 0.500 0.500 0.000
# **Uncorrected energy**: -4.441 eV per atom
# **ΔE_f (raw)**: 39.8 kJ per mole of atoms
# **Offset from the most stable computed form**: 2.478 eV/f.u.

***

Entry 8:
# CrAs2 (PBE, optimized geometry)
data_CrAs2
_space_group_name_H-M_alt 'C 1 2/m 1'
_space_group_IT_number 12
_cell_length_a 7.921
_cell_length_b 4.020
_cell_length_c 4.008
_cell_angle_alpha 90.00
_cell_angle_beta 120.24
_cell_angle_gamma 90.00
loop_
_space_group_symop_operation_xyz
'x,y,z'
'-x,-y,-z'
'-x,y,-z'
'x,-y,z'
'x+1/2,y+1/2,z'
'-x+1/2,-y+1/2,-z'
'-x+1/2,y+1/2,-z'
'x+1/2,-y+1/2,z'
loop_
_atom_site_label
_atom_site_type_symbol
_atom_site_fract_x
_atom_site_fract_y
_atom_site_fract_z
Cr1 Cr 0.000 0.000 0.000
As1 As 0.249 0.500 0.250
# **Uncorrected energy**: -6.284 eV per atom
# **Formation enthalpy at 0 K**: 0.023 eV/atom